DFT (PBE) results for an optimized crystal structure of Tb3Nd7Dy.

Structure (POSCAR):
```
Tb3Nd7Dy
1.0
-2.967 5.696 5.708
2.967 -5.696 5.708
2.967 5.696 -5.708
Tb Nd Dy
3 7 1
Direct
0.000 0.000 0.000
0.205 0.500 0.705
0.795 0.500 0.295
0.015 0.806 0.209
0.210 0.710 0.500
0.403 0.194 0.209
0.500 0.500 0.000
0.597 0.806 0.791
0.790 0.290 0.500
0.985 0.194 0.791
0.500 0.000 0.500
```

Output
Its space-group type is No. 71.

***

DFT (PBE) results for an optimized crystal structure of YZr2SnH.

Structure (POSCAR):
```
YZr2SnH
1.0
4.529 0.000 0.000
0.000 4.529 0.000
0.000 0.000 4.719
Y Zr Sn H
1 2 1 1
Direct
0.000 0.000 0.000
0.000 0.500 0.500
0.500 0.000 0.500
0.500 0.500 0.000
0.000 0.000 0.500
```

Output
Its space-group type is No. 123.

***

DFT (PBE) results for an optimized crystal structure of ErAgPdPb.

Structure (POSCAR):
```
ErAgPdPb
1.0
0.000 3.487 3.487
3.487 0.000 3.487
3.487 3.487 0.000
Er Ag Pd Pb
1 1 1 1
Direct
0.000 0.000 0.000
0.250 0.250 0.250
0.750 0.750 0.750
0.500 0.500 0.500
```

Output
Its space-group type is No. 216.

***

DFT (PBE) results for an optimized crystal structure of Cs2AlIr2.

Structure (POSCAR):
```
Cs2AlIr2
1.0
6.608 0.000 0.000
0.000 6.608 0.000
0.000 0.000 6.091
Cs Al Ir
4 2 4
Direct
0.182 0.318 0.000
0.318 0.818 0.000
0.682 0.182 0.000
0.818 0.682 0.000
0.000 0.000 0.500
0.500 0.500 0.500
0.133 0.633 0.500
0.367 0.133 0.500
0.633 0.867 0.500
0.867 0.367 0.500
```

Output
Its space-group type is No. 127.

***

DFT (PBE) results for an optimized crystal structure of Tl2InRe.

Structure (POSCAR):
```
Tl2InRe
1.0
5.268 0.000 0.000
0.000 5.268 0.000
0.000 0.000 3.198
Tl In Re
2 1 1
Direct
0.000 0.500 0.000
0.500 0.000 0.000
0.000 0.000 0.500
0.500 0.500 0.500
```

Output
Its space-group type is No. 123.

***

DFT (PBE) results for an optimized crystal structure of CrCu2P.

Structure (POSCAR):
```
CrCu2P
1.0
2.875 0.000 0.000
0.000 4.024 0.000
-1.265 0.000 4.498
Cr Cu P
1 2 1
Direct
0.000 0.000 0.000
0.385 0.500 0.736
0.615 0.500 0.264
0.500 0.000 0.500
```

Output
Its space-group type is No. 10.

***

DFT (PBE) results for an optimized crystal structure of Na2AlBi2.

Structure (POSCAR):
```
Na2AlBi2
1.0
-3.806 6.442 3.177
3.806 -6.442 3.177
3.806 6.442 -3.177
Na Al Bi
4 2 4
Direct
0.116 0.148 0.265
0.384 0.648 0.032
0.616 0.352 0.968
0.884 0.852 0.735
0.250 0.750 0.500
0.750 0.250 0.500
0.133 0.710 0.843
0.367 0.210 0.577
0.633 0.790 0.423
0.867 0.290 0.157
```

Output
Its space-group type is No. 72.

***

DFT (PBE) results for an optimized crystal structure of NaTlInCl6.

Structure (POSCAR):
```
NaTlInCl6
1.0
6.980 0.000 0.000
-3.490 6.045 0.000
0.000 0.000 12.351
Na Tl In Cl
2 2 2 12
Direct
0.000 0.000 0.000
0.000 0.000 0.500
0.333 0.667 0.250
0.667 0.333 0.750
0.333 0.667 0.750
0.667 0.333 0.250
0.034 0.369 0.629
0.034 0.665 0.871
0.335 0.369 0.871
0.335 0.966 0.629
0.369 0.034 0.129
0.369 0.335 0.371
0.631 0.665 0.629
0.631 0.966 0.871
0.665 0.034 0.371
0.665 0.631 0.129
0.966 0.335 0.129
0.966 0.631 0.371
```

Output
The uncorrected formation energy is -1.096 eV/atom. Its space-group type is No. 163.

***

Number 1: calculated total energy -4.488 eV/atom. Number 2: calculated total energy -6.616 eV/atom. Number 3: calculated total energy -4.543 eV/atom. Number 4: calculated total energy -4.183 eV/atom. Number 5: calculated total energy -3.986 eV/atom. Number 6: calculated total energy -5.696 eV/atom. Number 7: calculated total energy -2.965 eV/atom. Number 8: calculated total energy -3.041 eV/atom.